Record 1
## Mg3Tl (PBE)

Data for a relaxed Mg3Tl crystal.

Lattice parameters (Å, degrees): 4.5369 4.5369 18.0700 90.00 90.00 90.00
Space group I4/mmm (No. 139)
Symmetry-distinct sites (fractional):
Mg: 0.0000 0.0000 0.1237 [4 per cell]
Mg: 0.0000 0.5000 0.0000 [4 per cell]
Mg: 0.0000 0.5000 0.2500 [4 per cell]
Tl: 0.0000 0.0000 0.3735 [4 per cell]

Results
Energy of formation, meV/atom: -28
Total energy, eV per atom: -1.815

=====

Record 2
## Mg12Tl17 (PBE)

Data for a relaxed Mg12Tl17 crystal.

Lattice parameters (Å, degrees): 11.5857 11.5857 11.5857 90.00 90.00 90.00
Space group I-43m (No. 217)
Symmetry-distinct sites (fractional):
Mg: 0.0953 0.0953 0.2872 [24 per cell]
Tl: 0.0000 0.0000 0.0000 [2 per cell]
Tl: 0.0547 0.3594 0.3594 [24 per cell]
Tl: 0.1619 0.1619 0.8381 [8 per cell]

Results
Energy of formation, meV/atom: 17
Total energy, eV per atom: -2.030

=====

Record 3
## Mg4Tl3 (PBE)

Data for a relaxed Mg4Tl3 crystal.

Lattice parameters (Å, degrees): 4.9724 4.9724 25.4923 90.00 90.00 120.00
Space group R-3m (No. 166, hexagonal axes)
Symmetry-distinct sites (fractional):
Mg: 0.0000 0.0000 0.1189 [6 per cell]
Mg: 0.0000 0.0000 0.3722 [6 per cell]
Tl: 0.0000 0.0000 0.2555 [6 per cell]
Tl: 0.0000 0.0000 0.5000 [3 per cell]

Results
Energy of formation, meV/atom: 14
Total energy, eV per atom: -1.911
Excess energy over the best structure of this formula in the dataset, meV per atom: 19

=====

Record 4
## MgTl2 (PBE)

Data for a relaxed MgTl2 crystal.

Lattice parameters (Å, degrees): 11.9525 3.5786 7.9712 90.00 105.77 90.00
Space group Cm (No. 8)
Symmetry-distinct sites (fractional):
Mg: 0.0000 0.0000 0.0000 [2 per cell]
Mg: 0.1825 0.5000 0.3164 [2 per cell]
Tl: 0.0675 0.0000 0.5605 [2 per cell]
Tl: 0.2011 0.5000 0.9207 [2 per cell]
Tl: 0.3549 0.0000 0.6697 [2 per cell]
Tl: 0.3873 0.0000 0.2407 [2 per cell]

Results
Energy of formation, meV/atom: 9
Total energy, eV per atom: -2.100
Excess energy over the best structure of this formula in the dataset, meV per atom: 26

=====

Record 5
## MgTl3 (PBE)

Data for a relaxed MgTl3 crystal.

Lattice parameters (Å, degrees): 3.6516 3.6516 8.4217 90.00 90.00 90.00
Space group P4/mmm (No. 123)
Symmetry-distinct sites (fractional):
Mg: 0.0000 0.0000 0.0000 [1 per cell]
Tl: 0.0000 0.0000 0.5000 [1 per cell]
Tl: 0.5000 0.5000 0.2221 [2 per cell]

Results
Energy of formation, meV/atom: -3
Total energy, eV per atom: -2.177

=====

Record 6
## Mg3Tl (PBE)

Data for a relaxed Mg3Tl crystal.

Lattice parameters (Å, degrees): 3.3562 5.1421 5.5034 90.00 90.00 90.00
Space group Pmm2 (No. 25)
Symmetry-distinct sites (fractional):
Mg: 0.0000 0.0000 0.0000 [1 per cell]
Mg: 0.0000 0.5000 0.3393 [1 per cell]
Mg: 0.5000 0.5000 0.8497 [1 per cell]
Tl: 0.5000 0.0000 0.5022 [1 per cell]

Results
Energy of formation, meV/atom: -17
Total energy, eV per atom: -1.805